1.
First-principles (PBE) data for a relaxed MnBiBIr2 crystal, as listed in Alexandria.

Lattice parameters (Å, degrees): 5.0104 4.8711 5.0104 90.00 90.00 90.00
Site moments in Bohr magnetons follow the coordinates.
Fractional positions:
Mn1 0.0000 0.5000 0.0000  -0.13
Ir1 0.5000 0.0000 0.0000  0.03
Ir2 0.0000 0.0000 0.5000  -0.06
B1 0.5000 0.5000 0.5000  0.02
Bi1 0.0000 0.0000 0.0000  0.01

The value obtained for the formation energy is 1443 kJ/mol of formula units. The total energy comes out at -0.165 Ha/atom.

2.
First-principles (PBE) data for a relaxed LaMgNb2As crystal, as listed in Alexandria.

Lattice parameters (Å, degrees): 4.9654 4.8790 4.9654 90.00 90.00 90.00
Fractional positions:
Nb1 0.0000 0.0000 0.5000
Nb2 0.5000 0.0000 0.0000
La1 0.5000 0.5000 0.5000
As1 0.0000 0.5000 0.0000
Mg1 0.0000 0.0000 0.0000

The value obtained for the formation energy is 475 kJ/mol of formula units. The total energy comes out at -0.194 Ha/atom.

3.
First-principles (PBE) data for a relaxed CdNiPb2 crystal, as listed in Alexandria.

Lattice parameters (Å, degrees): 8.6378 8.6378 8.6378 24.68 24.68 24.68
Fractional positions:
Ni1 0.7500 0.7500 0.7500
Cd1 0.2500 0.2500 0.2500
Pb1 0.0174 0.0174 0.0174
Pb2 0.4826 0.4826 0.4826

The value obtained for the formation energy is 56 kJ/mol of formula units. Its polymorph energy (0 for the lowest one) is 0.039 eV/atom. The total energy comes out at -0.124 Ha/atom.

4.
First-principles (PBE) data for a relaxed La2Mg5Sc crystal, as listed in Alexandria.

Lattice parameters (Å, degrees): 5.1168 5.1168 8.9538 106.60 106.60 90.00
Fractional positions:
Mg1 0.8926 0.3926 0.7852
Mg2 0.6074 0.1074 0.2148
Mg3 0.5000 0.5000 0.0000
Mg4 0.1074 0.6074 0.2148
Mg5 0.3926 0.8926 0.7852
La1 0.2579 0.2579 0.5158
La2 0.7421 0.7421 0.4842
Sc1 0.0000 0.0000 0.0000

The value obtained for the formation energy is -44 kJ/mol of formula units. The total energy comes out at -0.113 Ha/atom.

5.
First-principles (PBE) data for a relaxed Si3Se crystal, as listed in Alexandria.

Lattice parameters (Å, degrees): 5.1254 5.1254 5.1254 90.00 90.00 90.00
Fractional positions:
Si1 0.0000 0.0000 0.5000
Si2 0.0000 0.5000 0.0000
Si3 0.5000 0.0000 0.0000
Se1 0.0000 0.0000 0.0000

The total energy comes out at -0.124 Ha/atom.

6.
First-principles (PBE) data for a relaxed Pm6YEr3 crystal, as listed in Alexandria.

Lattice parameters (Å, degrees): 6.4174 11.7309 11.7309 130.73 90.00 90.00
Fractional positions:
Pm1 0.7965 0.3015 0.6985
Pm2 0.3233 0.4550 0.8940
Pm3 0.5709 0.2601 0.3797
Pm4 0.5709 0.6203 0.7399
Pm5 0.8128 0.0155 0.9845
Pm6 0.3233 0.1060 0.5450
Pm7 0.3128 0.9845 0.0155
Pm8 0.0709 0.3797 0.2601
Pm9 0.0709 0.7399 0.6203
Pm10 0.8233 0.8940 0.4550
Pm11 0.2965 0.6985 0.3015
Pm12 0.8233 0.5450 0.1060
Er1 0.5916 0.5801 0.4199
Er2 0.4912 0.9569 0.7066
Er3 0.0916 0.4199 0.5801
Er4 0.9912 0.0431 0.2934
Er5 0.9912 0.7066 0.9569
Er6 0.4912 0.2934 0.0431
Y1 0.5136 0.8417 0.1583
Y2 0.0136 0.1583 0.8417

The value obtained for the formation energy is 122 kJ/mol of formula units. The total energy comes out at -0.174 Ha/atom.